## TiTe (PBE)

Data for crystalline TiTe at its relaxed geometry.

Computed properties:
Energy relative to the elements, uncorrected   -504 meV/atom
Total magnetic moment   0.28 μB per formula unit
Raw total energy   -6.02 eV per atom

abc: 3.7737 11.3244 6.9210
angles: 90.00 90.00 90.00
Closest atoms and distances in Å follow each position.
Element x y z (fractional)
Ti 0.0000 0.0000 0.5365  4 Te 2.70-2.71, 4 Ti 2.94
Ti 0.0000 0.5000 0.0365  4 Te 2.70-2.71, 4 Ti 2.94
Ti 0.5000 0.6981 0.0617  5 Te 2.78-2.86, 2 Ti 2.94
Ti 0.5000 0.8019 0.5617  5 Te 2.78-2.86, 2 Ti 2.94
Ti 0.5000 0.3019 0.0617  5 Te 2.78-2.86, 2 Ti 2.94
Ti 0.5000 0.1981 0.5617  5 Te 2.78-2.86, 2 Ti 2.94
Te 0.0000 0.3305 0.7618  5 Ti 2.70-2.82
Te 0.0000 0.8305 0.2618  5 Ti 2.70-2.82
Te 0.5000 0.0000 0.8185  4 Ti 2.71-2.86
Te 0.0000 0.6695 0.7618  5 Ti 2.70-2.82
Te 0.5000 0.5000 0.3185  4 Ti 2.71-2.86
Te 0.0000 0.1695 0.2618  5 Ti 2.70-2.82